VASP calculation (PBE) on a relaxed LiPaTcO5 crystal.

abc: 5.6017 5.6017 7.8650
angles: 103.66 103.66 106.78
Last column: nearest neighbours and their distance in Å.
Sites, in units of the cell vectors:
Li 0.0626 0.9374 0.7500  4 O 1.92
Li 0.9374 0.0626 0.2500  4 O 1.92
Pa 0.0000 0.5000 0.0000  6 O 2.13-2.35
Pa 0.5000 0.0000 0.5000  6 O 2.13-2.35
Tc 0.3888 0.6112 0.7500  5 O 1.98-2.03
Tc 0.6112 0.3888 0.2500  5 O 1.98-2.03
O 0.1514 0.3106 0.8066  1 Li 1.92, 1 Tc 2.03, 1 Pa 2.13
O 0.2011 0.7595 0.5805  1 Li 1.92, 1 Tc 1.98
O 0.2405 0.7989 0.9195  1 Li 1.92, 1 Tc 1.98
O 0.3106 0.1514 0.3066  1 Li 1.92, 1 Tc 2.03, 1 Pa 2.13
O 0.3851 0.6149 0.2500  1 Tc 2.03
O 0.6149 0.3851 0.7500  1 Tc 2.03
O 0.6894 0.8486 0.6934  1 Li 1.92, 1 Tc 2.03, 1 Pa 2.13
O 0.7595 0.2011 0.0805  1 Li 1.92, 1 Tc 1.98
O 0.7989 0.2405 0.4195  1 Li 1.92, 1 Tc 1.98
O 0.8486 0.6894 0.1934  1 Li 1.92, 1 Tc 2.03, 1 Pa 2.13

Its crystal system is monoclinic. The density comes out at 6.37 g/cm³. The uncorrected formation energy is -2.243 eV/atom.

VASP calculation (PBE) on a relaxed LiPaTeO6 crystal.

abc: 5.5884 5.5884 9.3865
angles: 90.00 90.00 120.00
Last column: nearest neighbours and their distance in Å.
Sites, in units of the cell vectors:
Li 0.0000 0.0000 0.0000  6 O 2.40
Li 0.0000 0.0000 0.5000  6 O 2.40
Pa 0.3333 0.6667 0.2500  6 O 2.21
Pa 0.6667 0.3333 0.7500  6 O 2.21
Te 0.3333 0.6667 0.7500  6 O 1.96
Te 0.6667 0.3333 0.2500  6 O 1.96
O 0.0339 0.3785 0.6363  1 Te 1.96
O 0.0339 0.6554 0.8637  1 Te 1.96
O 0.3446 0.3785 0.8637  1 Te 1.96
O 0.3446 0.9661 0.6363  1 Te 1.96
O 0.3785 0.0339 0.1363  1 Te 1.96
O 0.3785 0.3446 0.3637  1 Te 1.96
O 0.6215 0.6554 0.6363  1 Te 1.96
O 0.6215 0.9661 0.8637  1 Te 1.96
O 0.6554 0.0339 0.3637  1 Te 1.96
O 0.6554 0.6215 0.1363  1 Te 1.96
O 0.9661 0.3446 0.1363  1 Te 1.96
O 0.9661 0.6215 0.3637  1 Te 1.96

Its crystal system is trigonal. The density comes out at 6.04 g/cm³. The uncorrected formation energy is -2.056 eV/atom.

VASP calculation (PBE) on a relaxed LiPaTeO2 crystal.

abc: 6.7605 6.7605 6.7605
angles: 146.50 146.50 48.10
Last column: nearest neighbours and their distance in Å.
Sites, in units of the cell vectors:
Li 0.0000 0.0000 0.0000  4 O 2.10
Pa 0.3592 0.3592 0.0000  4 O 2.17
Te 0.7059 0.7059 0.0000  4 Pa 3.34, 4 O 3.45, 1 Li 3.63
O 0.4364 0.9364 0.5000  2 Li 2.10, 2 Pa 2.17
O 0.9364 0.4364 0.5000  2 Li 2.10, 2 Pa 2.17

Its crystal system is tetragonal. The density comes out at 7.04 g/cm³. The uncorrected formation energy is -2.465 eV/atom.

VASP calculation (PBE) on a relaxed LiPaTeO5 crystal.

abc: 5.7296 6.6437 8.1207
angles: 106.46 110.20 97.29
Last column: nearest neighbours and their distance in Å.
Sites, in units of the cell vectors:
Li 0.0811 0.4236 0.3201  3 O 1.99-2.08
Li 0.9189 0.5764 0.6799  3 O 1.99-2.08
Pa 0.0000 0.0000 0.5000  4 O 2.03-2.23
Pa 0.5000 0.5000 0.0000  2 O 2.01
Te 0.4627 0.1652 0.2446  3 O 1.91-1.94
Te 0.5373 0.8348 0.7554  3 O 1.91-1.94
O 0.2145 0.7226 0.5373  1 Te 1.94, 1 Li 2.08
O 0.2505 0.1437 0.3841  1 Te 1.94
O 0.2551 0.1831 0.7640  1 Pa 2.03
O 0.2627 0.6712 0.8912  1 Li 1.99, 1 Pa 2.01
O 0.3389 0.4096 0.2064  1 Te 1.91, 1 Li 1.99
O 0.6611 0.5904 0.7936  1 Te 1.91, 1 Li 1.99
O 0.7373 0.3288 0.1088  1 Li 1.99, 1 Pa 2.01
O 0.7449 0.8169 0.2360  1 Pa 2.03
O 0.7495 0.8563 0.6159  1 Te 1.94
O 0.7855 0.2774 0.4627  1 Te 1.94, 1 Li 2.08

Its crystal system is triclinic. The density comes out at 5.49 g/cm³. The uncorrected formation energy is -2.336 eV/atom.

VASP calculation (PBE) on a relaxed Li2PaTeO8 crystal.

abc: 4.7044 6.7797 4.7313
angles: 90.00 90.96 90.00
Last column: nearest neighbours and their distance in Å.
Sites, in units of the cell vectors:
Li 0.0000 0.2278 0.0000  6 O 2.06-2.29
Li 0.0000 0.7722 0.0000  6 O 2.06-2.29
Pa 0.5000 0.5000 0.5000  2 O 1.95
Te 0.5000 0.0000 0.5000  6 O 1.91-1.96
O 0.2042 0.5000 0.2074  1 Pa 1.95
O 0.2091 0.0000 0.2141  1 Te 1.91, 2 Li 2.08
O 0.3080 0.2154 0.6947  1 Te 1.96, 1 Li 2.06
O 0.3080 0.7846 0.6947  1 Te 1.96, 1 Li 2.06
O 0.6920 0.2154 0.3053  1 Te 1.96, 1 Li 2.06
O 0.6920 0.7846 0.3053  1 Te 1.96, 1 Li 2.06
O 0.7909 0.0000 0.7859  1 Te 1.91, 2 Li 2.08
O 0.7958 0.5000 0.7926  1 Pa 1.95

Its crystal system is monoclinic. The density comes out at 5.51 g/cm³. The uncorrected formation energy is -1.604 eV/atom.

VASP calculation (PBE) on a relaxed LiThPaO6 crystal.

abc: 5.4696 5.4696 5.0445
angles: 90.00 90.00 120.00
Last column: nearest neighbours and their distance in Å.
Sites, in units of the cell vectors:
Li 0.0000 0.0000 0.0000  6 O 2.22
Th 0.3333 0.6667 0.0000  6 O 2.27
Pa 0.6667 0.3333 0.5000  6 O 2.16
O 0.3436 0.0188 0.2482  1 Pa 2.16, 1 Li 2.22, 1 Th 2.27
O 0.3436 0.3247 0.7518  1 Pa 2.16, 1 Li 2.22, 1 Th 2.27
O 0.6753 0.0188 0.7518  1 Pa 2.16, 1 Li 2.22, 1 Th 2.27
O 0.6753 0.6564 0.2482  1 Pa 2.16, 1 Li 2.22, 1 Th 2.27
O 0.9812 0.3247 0.2482  1 Pa 2.16, 1 Li 2.22, 1 Th 2.27
O 0.9812 0.6564 0.7518  1 Pa 2.16, 1 Li 2.22, 1 Th 2.27

Its crystal system is trigonal. The density comes out at 7.19 g/cm³. The uncorrected formation energy is -2.702 eV/atom.